# Sm4Al12Os (PBE-GGA, relaxed)
data_Sm4Al12Os
_chemical_formula_sum 'Sm8 Al24 Os2'
_cell_length_a 8.745
_cell_length_b 8.745
_cell_length_c 8.745
_cell_angle_alpha 90.00
_cell_angle_beta 90.00
_cell_angle_gamma 90.00
_space_group_name_H-M_alt 'I m -3 m'
_space_group_IT_number 229
_space_group_name_Hall '-I 4 2 3'
loop_
_atom_site_label
_atom_site_type_symbol
_atom_site_fract_x
_atom_site_fract_y
_atom_site_fract_z
_atom_site_occupancy
Sm1 Sm 0.250 0.250 0.250 1
Al1 Al 0.000 0.000 0.286 1
Al2 Al 0.000 0.250 0.500 1
Os1 Os 0.000 0.000 0.000 1
# - calculated total energy (eV per atom) = -4.878
# - crystal system = cubic